Here is a geometry-optimized LaSeBr2 structure from the Alexandria database. Energies are from PBE.

Total magnetic moment (μB per atom): 0.242
Uncorrected formation energy (eV/atom): -1.279
DOS at the Fermi energy (states/eV/f.u.): 1.5
E_tot (eV/atom): -4.218
Space group: No. 99
Crystal system: tetragonal
Distance to the lowest polymorph of the same formula (meV per atom): 187

a b c (Å): 4.133 4.133 7.538
angles (deg): 90.00 90.00 90.00
Fractional positions:
La 0.000 0.000 0.000
Se 0.500 0.500 0.126
Br 0.000 0.000 0.376
Br 0.500 0.500 0.738